# 1
A geometry-optimized La2PrTh3S6 structure, computed with PBE.

```
La2PrTh3S6
1.0
-0.1985 3.1845 2.5661
-2.1243 -5.0262 6.0733
9.0213 -1.3681 -0.8711
La S Th Pr
2 6 3 1
direct
0.1663 0.3328 0.3325
0.8337 0.6672 0.6675
0.3327 0.9211 0.6654
0.3345 0.4135 0.6690
0.6655 0.5865 0.3310
0.9984 0.2518 0.9968
0.6673 0.0789 0.3346
0.0016 0.7482 0.0032
0.1667 0.8329 0.3334
0.5000 0.5000 0.0000
0.8333 0.1671 0.6666
0.5000 0.0000 0.0000
```

Calculated values
uncorrected energy: -7.1078 eV/atom
crystal system: monoclinic
DOS at the Fermi energy: 8.176 states/eV/cell
raw formation energy: -1970 meV per atom

# 2
A geometry-optimized LaPr2Tl3S6 structure, computed with PBE.

```
LaPr2Tl3S6
1.0
-2.7054 1.8325 6.5764
-4.4138 -2.8846 -5.1112
3.9113 -6.5066 2.0543
Tl Pr S La
3 2 6 1
direct
0.8329 0.1671 0.5000
0.1671 0.8329 0.5000
0.5000 0.5000 0.5000
0.3334 0.6666 0.0000
0.6666 0.3334 0.0000
0.9315 0.5963 0.7945
0.0685 0.4037 0.2055
0.2667 0.2667 0.7950
0.4037 0.0685 0.2055
0.7333 0.7333 0.2050
0.5963 0.9315 0.7945
0.0000 0.0000 0.0000
```

Calculated values
uncorrected energy: -5.3356 eV/atom
crystal system: monoclinic
DOS at the Fermi energy: 0.000 states/eV/cell
raw formation energy: -1473 meV per atom

# 3
A geometry-optimized LaPr2TmS4 structure, computed with PBE.

```
LaPr2TmS4
1.0
-0.9805 -0.3134 -3.8694
6.8427 0.2587 -1.7549
-1.8331 -6.7319 1.0097
Tm Pr S La
1 2 4 1
direct
0.5000 0.5000 0.0000
0.5000 0.0000 0.5000
0.0000 0.5000 0.5000
0.5000 0.2604 0.2418
0.0000 0.2685 0.7676
0.5000 0.7396 0.7582
0.0000 0.7315 0.2324
0.0000 0.0000 0.0000
```

Calculated values
uncorrected energy: -6.4596 eV/atom
crystal system: monoclinic
DOS at the Fermi energy: 4.498 states/eV/cell
raw formation energy: -2026 meV per atom

# 4
A geometry-optimized La2PrTmS4 structure, computed with PBE.

```
La2PrTmS4
1.0
-0.4854 1.5618 3.6768
5.5315 -3.7405 2.3191
2.2870 6.2672 -2.3603
S Tm Pr La
4 1 1 2
direct
0.0000 0.2413 0.7609
0.5000 0.2315 0.2304
0.5000 0.7685 0.7696
0.0000 0.7587 0.2391
0.0000 0.0000 0.0000
0.5000 0.5000 0.0000
0.5000 0.0000 0.5000
0.0000 0.5000 0.5000
```

Calculated values
uncorrected energy: -6.5179 eV/atom
crystal system: monoclinic
DOS at the Fermi energy: 4.737 states/eV/cell
raw formation energy: -2066 meV per atom

# 5
A geometry-optimized La3Pr3TmS8 structure, computed with PBE.

```
La3Pr3TmS8
1.0
8.1916 -0.0002 -0.0002
-4.0959 7.0939 -0.0246
0.0001 -4.7059 6.7624
S Pr Tm La
8 3 1 3
direct
0.2366 0.9990 0.7356
0.2376 0.0011 0.2644
0.7497 0.4994 0.7491
0.2503 0.5006 0.2509
0.2366 0.4732 0.7356
0.7634 0.5268 0.2644
0.7634 0.0010 0.2644
0.7624 0.9989 0.7356
0.5000 0.5000 0.5000
0.0000 0.5000 0.5000
0.5000 0.0000 0.5000
0.0000 0.0000 0.5000
0.5000 0.5000 0.0000
0.0000 0.0000 0.0000
0.0000 0.5000 0.0000
```

Calculated values
uncorrected energy: -6.5451 eV/atom
crystal system: trigonal
DOS at the Fermi energy: 7.195 states/eV/cell
raw formation energy: -2104 meV per atom

# 6
A geometry-optimized La3Pr4TmS8 structure, computed with PBE.

```
La3Pr4TmS8
1.0
-2.4577 2.6335 7.3650
6.8388 -2.9961 3.3534
0.4649 5.2446 -6.2836
S Pr La Tm
8 4 3 1
direct
0.7505 0.7516 0.5010
0.7597 0.2588 0.9990
0.2403 0.7412 0.4805
0.2403 0.7412 0.0010
0.2393 0.2588 0.9990
0.7597 0.2588 0.5195
0.7607 0.7412 0.0010
0.2495 0.2484 0.4990
0.0000 0.0000 0.5000
0.5000 0.0000 0.5000
0.0000 0.0000 0.0000
0.5000 0.0000 0.0000
0.5000 0.5000 0.0000
0.0000 0.5000 0.5000
0.5000 0.5000 0.5000
0.0000 0.5000 0.0000
```

Calculated values
uncorrected energy: -6.5205 eV/atom
crystal system: trigonal
DOS at the Fermi energy: 7.582 states/eV/cell
raw formation energy: -2059 meV per atom

# 7
A geometry-optimized La4PrTm3S8 structure, computed with PBE.

```
La4PrTm3S8
1.0
-0.0575 6.7372 -4.3442
-6.2399 2.7811 4.3956
6.7200 -2.3257 3.7009
S Tm La Pr
8 3 4 1
direct
0.7507 0.2696 0.5013
0.2682 0.2696 0.0189
0.2493 0.7304 0.9811
0.7411 0.7232 0.4821
0.7507 0.2696 0.0189
0.7318 0.7304 0.9811
0.2589 0.2768 0.5179
0.2493 0.7304 0.4987
0.5000 0.5000 0.5000
0.5000 0.5000 0.0000
0.0000 0.5000 0.5000
0.0000 0.0000 0.0000
0.0000 0.0000 0.5000
0.5000 0.0000 0.0000
0.5000 0.0000 0.5000
0.0000 0.5000 0.0000
```

Calculated values
uncorrected energy: -6.4902 eV/atom
crystal system: trigonal
DOS at the Fermi energy: 8.066 states/eV/cell
raw formation energy: -2057 meV per atom

# 8
A geometry-optimized La4PrY3S8 structure, computed with PBE.

```
La4PrY3S8
1.0
8.1003 0.0000 0.0000
0.0000 8.1472 0.0274
-4.0502 -4.0463 5.7310
S Y La Pr
8 3 4 1
direct
0.2630 0.2640 0.0135
0.2565 0.2695 0.5130
0.7505 0.2640 0.0135
0.2495 0.7360 0.9865
0.7435 0.7305 0.4870
0.7370 0.7360 0.9865
0.2495 0.7360 0.4990
0.7505 0.2640 0.5010
0.5000 0.5000 0.0000
0.0000 0.5000 0.5000
0.5000 0.5000 0.5000
0.0000 0.0000 0.0000
0.5000 0.0000 0.0000
0.5000 0.0000 0.5000
0.0000 0.0000 0.5000
0.0000 0.5000 0.0000
```

Calculated values
uncorrected energy: -6.8908 eV/atom
crystal system: trigonal
DOS at the Fermi energy: 8.790 states/eV/cell
raw formation energy: -2085 meV per atom

# 9
A geometry-optimized LaPrY2S4 structure, computed with PBE.

```
LaPrY2S4
1.0
-0.7031 -0.5003 3.8735
3.4733 -6.1885 -0.1688
6.6803 1.1556 1.3617
S Pr Y La
4 1 2 1
direct
0.5000 0.7687 0.2441
0.5000 0.2314 0.7559
0.0000 0.2307 0.2573
0.0000 0.7693 0.7427
0.0000 0.5000 0.5000
0.0000 0.0000 0.0000
0.5000 0.0000 0.5000
0.5000 0.5000 0.0000
```

Calculated values
uncorrected energy: -6.9451 eV/atom
crystal system: monoclinic
DOS at the Fermi energy: 4.575 states/eV/cell
raw formation energy: -2052 meV per atom

# 10
A geometry-optimized LaPr2YS4 structure, computed with PBE.

```
LaPr2YS4
1.0
-0.8372 1.4690 -3.6654
-6.9030 0.1156 1.6231
2.8978 6.1829 1.8160
Pr S La Y
2 4 1 1
direct
0.0000 0.5000 0.5000
0.5000 0.0000 0.5000
0.0000 0.7370 0.2379
0.5000 0.2574 0.2447
0.5000 0.7426 0.7553
0.0000 0.2630 0.7621
0.0000 0.0000 0.0000
0.5000 0.5000 0.0000
```

Calculated values
uncorrected energy: -6.7295 eV/atom
crystal system: monoclinic
DOS at the Fermi energy: 4.912 states/eV/cell
raw formation energy: -2047 meV per atom

# 11
A geometry-optimized La3Pr2YS6 structure, computed with PBE.

```
La3Pr2YS6
1.0
-4.2953 3.8031 4.1949
-1.2583 -6.9148 -1.0547
5.6827 -0.4586 4.2238
S La Y Pr
6 3 1 2
direct
0.5965 0.9200 0.7591
0.7582 0.7582 0.2444
0.9200 0.5965 0.7591
0.2418 0.2418 0.7556
0.0800 0.4035 0.2409
0.4035 0.0800 0.2409
0.1701 0.8299 0.5000
0.5000 0.5000 0.5000
0.8299 0.1701 0.5000
0.0000 0.0000 0.0000
0.6667 0.3333 0.0000
0.3333 0.6667 0.0000
```

Calculated values
uncorrected energy: -6.7267 eV/atom
crystal system: monoclinic
DOS at the Fermi energy: 5.642 states/eV/cell
raw formation energy: -2096 meV per atom

# 12
A geometry-optimized LaPr3Y2S6 structure, computed with PBE.

```
LaPr3Y2S6
1.0
7.0120 -0.0078 -0.0028
-3.5111 6.0696 -0.0028
-1.1703 -2.0264 6.6408
Pr S Y La
3 6 2 1
direct
0.5000 0.5000 0.5000
0.1627 0.8373 0.5000
0.8373 0.1627 0.5000
0.5760 0.9200 0.7601
0.7341 0.7341 0.2354
0.0800 0.4240 0.2399
0.4240 0.0800 0.2399
0.9200 0.5760 0.7601
0.2659 0.2659 0.7646
0.3329 0.6671 0.0000
0.6671 0.3329 0.0000
0.0000 0.0000 0.0000
```

Calculated values
uncorrected energy: -6.7862 eV/atom
crystal system: monoclinic
DOS at the Fermi energy: 5.427 states/eV/cell
raw formation energy: -2040 meV per atom

# 13
A geometry-optimized La4Pr3YS8 structure, computed with PBE.

```
La4Pr3YS8
1.0
8.2220 0.0000 0.0000
0.0000 8.2126 -0.0126
-4.1110 -4.1072 5.8168
S Y Pr La
8 1 3 4
direct
0.2430 0.7420 0.4859
0.2439 0.2580 0.0010
0.2429 0.7420 0.9990
0.7570 0.2580 0.5141
0.7561 0.7420 0.9990
0.2505 0.2515 0.5010
0.7571 0.2580 0.0010
0.7495 0.7485 0.4990
0.0000 0.5000 0.0000
0.0000 0.5000 0.5000
0.5000 0.5000 0.5000
0.5000 0.5000 0.0000
0.5000 0.0000 0.0000
0.5000 0.0000 0.5000
0.0000 0.0000 0.5000
0.0000 0.0000 0.0000
```

Calculated values
uncorrected energy: -6.6868 eV/atom
crystal system: trigonal
DOS at the Fermi energy: 8.525 states/eV/cell
raw formation energy: -2091 meV per atom

# 14
A geometry-optimized La3PrY2S6 structure, computed with PBE.

```
La3PrY2S6
1.0
7.0365 -0.0071 -0.0025
-3.5227 6.0912 -0.0025
-1.1746 -2.0338 6.6678
Y La S Pr
2 3 6 1
direct
0.6666 0.3334 0.0000
0.3334 0.6666 0.0000
0.5000 0.5000 0.5000
0.8369 0.1631 0.5000
0.1631 0.8369 0.5000
0.2655 0.2655 0.7661
0.4225 0.0791 0.2375
0.5775 0.9209 0.7625
0.7345 0.7345 0.2339
0.0791 0.4225 0.2375
0.9209 0.5775 0.7625
0.0000 0.0000 0.0000
```

Calculated values
uncorrected energy: -6.8630 eV/atom
crystal system: monoclinic
DOS at the Fermi energy: 5.841 states/eV/cell
raw formation energy: -2092 meV per atom

# 15
A geometry-optimized La2PrZnS5 structure, computed with PBE.

```
La2PrZnS5
1.0
3.9776 0.0000 0.0000
-1.9888 8.5749 0.0000
0.0000 0.0000 12.3035
S La Pr Zn
10 4 2 2
direct
0.4908 0.9816 0.7546
0.0178 0.0357 0.0175
0.2983 0.5967 0.6931
0.9822 0.9643 0.5175
0.3495 0.6991 0.0163
0.6505 0.3009 0.5163
0.7017 0.4033 0.1931
0.6792 0.3584 0.8581
0.5092 0.0184 0.2546
0.3208 0.6416 0.3581
0.1170 0.2340 0.6901
0.8745 0.7490 0.8411
0.1255 0.2510 0.3411
0.8830 0.7660 0.1901
0.8140 0.6280 0.5283
0.1860 0.3720 0.0283
0.4553 0.9106 0.4249
0.5447 0.0894 0.9249
```

Calculated values
uncorrected energy: -5.8733 eV/atom
crystal system: orthorhombic
DOS at the Fermi energy: 2.358 states/eV/cell
raw formation energy: -1813 meV per atom

# 16
A geometry-optimized La4PrSb5 structure, computed with PBE.

```
La4PrSb5
1.0
4.5333 0.0000 -0.8746
-0.3360 6.2746 -1.7417
0.0025 -0.0016 12.1991
La Pr Sb
4 1 5
direct
0.1994 0.1994 0.3988
0.4003 0.4003 0.8007
0.8006 0.8006 0.6012
0.5997 0.5997 0.1993
0.0000 0.0000 0.0000
0.7999 0.2999 0.5998
0.4010 0.9010 0.8020
0.5990 0.0990 0.1980
0.0000 0.5000 0.0000
0.2001 0.7001 0.4002
```

Calculated values
uncorrected energy: -5.7704 eV/atom
crystal system: orthorhombic
DOS at the Fermi energy: 1.612 states/eV/cell
raw formation energy: -1260 meV per atom

# 17
A geometry-optimized La3PrSb2 structure, computed with PBE.

```
La3PrSb2
1.0
7.3851 0.0000 0.0000
0.0000 8.0280 0.0000
-3.6926 -4.0140 7.5436
Sb La Pr
4 6 2
direct
0.8202 0.1460 0.2921
0.1798 0.8540 0.7079
0.5282 0.3540 0.7079
0.4718 0.6460 0.2921
0.2066 0.9566 0.4132
0.2066 0.4566 0.4132
0.7934 0.0434 0.5868
0.7934 0.5434 0.5868
0.5000 0.2500 0.0000
0.5000 0.7500 0.0000
0.0000 0.0000 0.0000
0.0000 0.5000 0.0000
```

Calculated values
energy relative to the lowest polymorph listed for this composition: 179 meV/atom
uncorrected energy: -5.3153 eV/atom
crystal system: orthorhombic
DOS at the Fermi energy: 15.782 states/eV/cell
raw formation energy: -681 meV per atom

# 18
A geometry-optimized LaPr3Sb3 structure, computed with PBE.

```
LaPr3Sb3
1.0
-4.5432 1.3861 8.3674
-2.1934 -9.3613 0.3598
8.1929 -1.7376 4.7363
Pr Sb La
12 12 4
direct
0.6802 0.3198 0.8198
0.6802 0.6802 0.6802
0.8198 0.3198 0.1802
0.0709 0.4291 0.5709
0.3198 0.1802 0.8198
0.3198 0.8198 0.6802
0.1802 0.8198 0.3198
0.9291 0.9291 0.9291
0.4291 0.5709 0.0709
0.1802 0.1802 0.1802
0.8198 0.6802 0.3198
0.5709 0.0709 0.4291
0.0000 0.2488 0.8769
0.5000 0.7512 0.3769
0.7488 0.6231 0.0000
0.2488 0.8769 0.0000
0.7512 0.3769 0.5000
0.5000 0.2512 0.1231
0.1231 0.5000 0.2512
0.3769 0.5000 0.7512
0.6231 0.0000 0.7488
0.0000 0.7488 0.6231
0.2512 0.1231 0.5000
0.8769 0.0000 0.2488
0.5705 0.9295 0.0705
0.0705 0.5705 0.9295
0.9295 0.0705 0.5705
0.4295 0.4295 0.4295
```

Calculated values
energy relative to the lowest polymorph listed for this composition: 0 meV/atom
uncorrected energy: -5.6046 eV/atom
crystal system: cubic
DOS at the Fermi energy: 30.319 states/eV/cell
raw formation energy: -1086 meV per atom

# 19
A geometry-optimized LaPr2Sb3 structure, computed with PBE.

```
LaPr2Sb3
1.0
-1.1596 1.8667 -4.0265
2.0776 -5.3144 -3.0621
-6.7288 -1.0315 4.0725
Sb Pr La
3 2 1
direct
0.1679 0.6679 0.8358
0.8321 0.3321 0.1642
0.5000 0.0000 0.5000
0.8336 0.8336 0.1671
0.1664 0.1664 0.8329
0.5000 0.5000 0.5000
```

Calculated values
uncorrected energy: -5.6964 eV/atom
crystal system: orthorhombic
DOS at the Fermi energy: 1.046 states/eV/cell
raw formation energy: -1221 meV per atom

# 20
A geometry-optimized LaPrSb structure, computed with PBE.

```
LaPrSb
1.0
-0.0351 3.6821 2.1206
-2.6275 1.6478 -2.9046
-2.7078 -4.2801 3.1295
La Sb Pr
1 1 1
direct
0.6320 0.6320 0.2640
0.2857 0.2857 0.5714
0.9323 0.9323 0.8645
```

Calculated values
uncorrected energy: -5.3367 eV/atom
crystal system: tetragonal
DOS at the Fermi energy: 3.260 states/eV/cell
raw formation energy: -727 meV per atom